A geometry-optimized YAlAs4 structure, computed with GGA-PBE.

Calculated values
density of states at the Fermi level: 0.606 states/eV per atom
total moment: 0.00 μB per cell
calculated formation energy: -0.0435 eV/atom

```
6
Lattice="2.277 1.937 4.790 -2.916 -0.280 4.827 1.572 -3.615 4.043" Properties=species:S:1:pos:R:3 pbc="T T T"
As 0.348 -0.731 5.097
As 1.503 0.252 7.528
As -1.132 -0.873 7.547
As 1.146 -2.565 7.149
Y 0.700 -1.468 10.245
Al 0.000 0.000 0.000
```